Record 1
DFT (PBEsol) results for Sc2PtRh after structural relaxation.

abc: 6.442 6.442 6.442
angles: 90.00 90.00 90.00
Space group Fm-3m (No. 225)
Symmetry-distinct sites (fractional):
1 Sc 0.250 0.250 0.250 [8 per cell]
2 Pt 0.000 0.000 0.000 [4 per cell]
3 Rh 0.000 0.000 0.500 [4 per cell]


Record 2
DFT (PBEsol) results for BeNbCu2As after structural relaxation.

abc: 3.939 3.939 4.454
angles: 90.00 90.00 90.00
Space group P4/mmm (No. 123)
Symmetry-distinct sites (fractional):
1 Be 0.000 0.000 0.000 [1 per cell]
2 Nb 0.500 0.500 0.500 [1 per cell]
3 Cu 0.000 0.500 0.000 [2 per cell]
4 As 0.000 0.000 0.500 [1 per cell]


Number 1: size of the total moment 0.00 μB/cell, E -8.16 eV per atom, E_form -1.086 eV/atom. Number 2: size of the total moment 0.00 μB/cell, E -5.23 eV per atom, E_form 0.490 eV/atom.